The following is a PBE-GGA calculation of a relaxed structure of YPuHg4, from the Alexandria database.

Cell lengths 3.317, 5.040, 8.757 Å; angles 90.00, 89.98, 90.00 degrees
Sites, in units of the cell vectors:
Hg: 0.000 0.000 0.664
Hg: 0.000 0.500 0.831
Hg: 0.000 0.500 0.169
Hg: 0.000 0.000 0.336
Pu: 0.500 0.000 0.000
Y: 0.500 0.500 0.500

Summary:
energy above the most stable polymorph in this dataset	0.000	eV per atom
formation enthalpy at 0 K	-0.28	eV/atom
VASP energy	-3.95	eV per atom